Crystalline PmSi4Pd4 at its relaxed geometry. Source: Alexandria, functional PBE-GGA.

Geometry as POSCAR:
```
PmSi4Pd4
1.0
6.0423 0.0000 0.0000
0.0000 6.0423 0.0000
0.0000 0.0000 8.2677
Si Pd Pm
8 8 2
Direct
0.5000 0.7998 0.8255
0.2998 0.0000 0.3255
0.7998 0.5000 0.1745
0.7002 0.0000 0.3255
0.2002 0.5000 0.1745
0.0000 0.2998 0.6745
0.0000 0.7002 0.6745
0.5000 0.2002 0.8255
0.0000 0.7335 0.3780
0.7665 0.5000 0.8780
0.2665 0.0000 0.6220
0.5000 0.7665 0.1220
0.0000 0.2665 0.3780
0.7335 0.0000 0.6220
0.5000 0.2335 0.1220
0.2335 0.5000 0.8780
0.0000 0.0000 0.0000
0.5000 0.5000 0.5000
```

Values from the calculation:
E: -106.26 eV for the cell shown
Volume: 302 Å³ per cell
Total magnetization: 0.0 Bohr magnetons per cell
Crystal system: tetragonal

=====

Crystalline Pm2Si2Pd5 at its relaxed geometry. Source: Alexandria, functional PBE-GGA.

Geometry as POSCAR:
```
Pm2Si2Pd5
1.0
4.2378 0.0000 0.0000
0.0000 4.2378 0.0000
0.0000 0.0000 9.0390
Pm Pd Si
2 5 2
Direct
0.0000 0.0000 0.0000
0.0000 0.0000 0.5000
0.5000 0.5000 0.5000
0.5000 0.0000 0.2671
0.0000 0.5000 0.7329
0.5000 0.0000 0.7329
0.0000 0.5000 0.2671
0.5000 0.5000 0.8675
0.5000 0.5000 0.1325
```

Values from the calculation:
E: -54.45 eV for the cell shown
Volume: 162 Å³ per cell
Total magnetization: 0.0 Bohr magnetons per cell
Crystal system: tetragonal

=====

Crystalline PmSi3Pd9 at its relaxed geometry. Source: Alexandria, functional PBE-GGA.

Geometry as POSCAR:
```
PmSi3Pd9
1.0
4.8271 -0.2089 1.9594
2.0930 5.9854 0.8496
-0.0494 -0.1045 7.0472
Pm Si Pd
1 3 9
Direct
0.0000 0.0000 0.0000
0.5000 0.0000 0.5000
0.0000 0.0000 0.5000
0.5000 0.5000 0.0000
0.6856 0.7745 0.7797
0.3144 0.2255 0.2203
0.7010 0.3172 0.3648
0.9343 0.6828 0.3648
0.0657 0.3172 0.6352
0.2990 0.6828 0.6352
0.4653 0.7745 0.2203
0.0000 0.5000 0.0000
0.5347 0.2255 0.7797
```

Values from the calculation:
E: -75.98 eV for the cell shown
Volume: 207 Å³ per cell
Total magnetization: 0.0 Bohr magnetons per cell
Crystal system: monoclinic

=====

Crystalline Pm3Si4Pd7 at its relaxed geometry. Source: Alexandria, functional PBE-GGA.

Geometry as POSCAR:
```
Pm3Si4Pd7
1.0
3.9659 0.0000 1.0005
1.4439 7.5790 2.6371
-0.0013 0.0374 8.3656
Si Pm Pd
4 3 7
Direct
0.3354 0.5560 0.7733
0.1091 0.1083 0.6736
0.8909 0.8917 0.3264
0.6646 0.4440 0.2267
0.3239 0.1775 0.1748
0.0000 0.5000 0.5000
0.6761 0.8225 0.8252
0.8298 0.4178 0.9227
0.3065 0.8518 0.5353
0.1702 0.5822 0.0773
0.0000 0.0000 0.0000
0.6935 0.1482 0.4647
0.5078 0.7597 0.2246
0.4922 0.2403 0.7754
```

Values from the calculation:
E: -84.74 eV for the cell shown
Volume: 251 Å³ per cell
Total magnetization: 0.0 Bohr magnetons per cell
Crystal system: monoclinic

=====

Crystalline PmSi2Pd2 at its relaxed geometry. Source: Alexandria, functional PBE-GGA.

Geometry as POSCAR:
```
PmSi2Pd2
1.0
4.2255 0.0000 0.0000
0.0000 4.2255 0.0000
-2.1128 -2.1128 4.9774
Pd Si Pm
2 2 1
Direct
0.7500 0.2500 0.5000
0.2500 0.7500 0.5000
0.3810 0.3810 0.7620
0.6190 0.6190 0.2380
0.0000 0.0000 0.0000
```

Values from the calculation:
E: -30.72 eV for the cell shown
Volume: 89 Å³ per cell
Total magnetization: 0.0 Bohr magnetons per cell
Crystal system: tetragonal

=====

Crystalline PmSi2Pd at its relaxed geometry. Source: Alexandria, functional PBE-GGA.

Geometry as POSCAR:
```
PmSi2Pd
1.0
3.2770 0.0000 0.0000
0.0000 3.2770 0.0000
0.0000 0.0000 6.8161
Pd Si Pm
1 2 1
Direct
0.5000 0.5000 0.0000
0.0000 0.0000 0.8092
0.0000 0.0000 0.1908
0.5000 0.5000 0.5000
```

Values from the calculation:
Volume: 73 Å³ per cell
Total magnetization: 0.0 Bohr magnetons per cell
Crystal system: tetragonal
Distance to the lowest polymorph of the same formula: 472 meV per atom